(1)
## PaMnTcP2 (GGA-PBE)

Data for an optimized crystal structure of PaMnTcP2.

Computed properties:
Energy of formation in eV/f.u.: -4.2
Electronic total energy in eV per atom: -8.806
Calculated volume in Å³ per cell: 77

Unit cell a=4.0553 b=4.0553 c=5.4876 alpha=111.68 beta=111.68 gamma=90.00
Last column: nearest neighbours and their distance in Å.
Fractional positions:
Pa  0.0000  0.0000  0.0000  4 Tc 3.10, 4 Mn 3.10, 10 P 3.12-3.46
Mn  0.7500  0.2500  0.5000  4 P 2.32
Tc  0.2500  0.7500  0.5000  4 P 2.32
P  0.6303  0.6303  0.2605  2 Tc 2.32, 2 Mn 2.32, 1 P 2.44
P  0.3697  0.3697  0.7395  2 Mn 2.32, 2 Tc 2.32, 1 P 2.44


(2)
## PaMnVP2 (GGA-PBE)

Data for an optimized crystal structure of PaMnVP2.

Computed properties:
Energy of formation in eV/f.u.: -4.0
Electronic total energy in eV per atom: -8.525
Calculated volume in Å³ per cell: 76

Unit cell a=3.9238 b=3.9238 c=5.6552 alpha=110.30 beta=110.30 gamma=90.00
Last column: nearest neighbours and their distance in Å.
Fractional positions:
Pa  0.0000  0.0000  0.0000  8 P 3.04, 4 Mn 3.15, 4 V 3.15
Mn  0.2500  0.7500  0.5000  4 P 2.32
V  0.7500  0.2500  0.5000  4 P 2.32
P  0.6248  0.6248  0.2497  2 Mn 2.32, 2 V 2.32, 1 P 2.46
P  0.3752  0.3752  0.7503  2 V 2.32, 2 Mn 2.32, 1 P 2.46


(3)
## MnPPb2 (GGA-PBE)

Data for an optimized crystal structure of MnPPb2.

Computed properties:
Energy of formation in eV/f.u.: 0.8
Electronic total energy in eV per atom: -5.305
Calculated volume in Å³ per cell: 97

Unit cell a=7.1098 b=7.1098 c=7.1098 alpha=151.52 beta=145.51 gamma=45.32
Last column: nearest neighbours and their distance in Å.
Fractional positions:
Mn  0.5683  0.5683  0.0000  2 P 2.28
P  0.6798  0.1798  0.5000  2 Mn 2.28
Pb  0.9818  0.9818  0.0000  4 Mn 2.96
Pb  0.2701  0.7701  0.5000  4 P 2.98


(4)
## MnPPb2 (GGA-PBE)

Data for an optimized crystal structure of MnPPb2.

Computed properties:
Energy of formation in eV/f.u.: 2.3
Electronic total energy in eV per atom: -4.917
Calculated volume in Å³ per cell: 95

Unit cell a=5.1191 b=5.1191 c=5.1191 alpha=60.00 beta=60.00 gamma=60.00
Last column: nearest neighbours and their distance in Å.
Fractional positions:
Mn  0.5000  0.5000  0.5000  4 Pb 3.13, 4 P 3.13
P  0.2500  0.2500  0.2500  4 Mn 3.13, 4 Pb 3.13
Pb  0.0000  0.0000  0.0000  4 Pb 3.13, 4 P 3.13
Pb  0.7500  0.7500  0.7500  4 Pb 3.13, 4 Mn 3.13


(5)
## MnPPb2 (GGA-PBE)

Data for an optimized crystal structure of MnPPb2.

Computed properties:
Energy of formation in eV/f.u.: 1.9
Electronic total energy in eV per atom: -5.018
Calculated volume in Å³ per cell: 92

Unit cell a=3.8351 b=3.8516 c=6.2187 alpha=87.22 beta=90.00 gamma=90.00
Last column: nearest neighbours and their distance in Å.
Fractional positions:
Mn  0.5000  0.5000  0.5000  2 P 3.11, 8 Pb 3.13-3.14
P  0.5000  0.5000  0.0000  8 Pb 3.03-3.22, 2 Mn 3.11
Pb  0.0000  0.0219  0.2473  4 P 3.03-3.22, 2 Pb 3.09-3.14, 4 Mn 3.13-3.14
Pb  0.0000  0.9781  0.7527  4 P 3.03-3.22, 2 Pb 3.09-3.14, 4 Mn 3.13-3.14


(6)
## MnPPb2 (GGA-PBE)

Data for an optimized crystal structure of MnPPb2.

Computed properties:
Energy of formation in eV/f.u.: 1.8
Electronic total energy in eV per atom: -5.042
Calculated volume in Å³ per cell: 94

Unit cell a=5.9801 b=5.9801 c=5.9801 alpha=138.28 beta=138.28 gamma=60.48
Last column: nearest neighbours and their distance in Å.
Fractional positions:
Mn  0.5000  0.5000  0.0000  8 Pb 3.01-3.35, 4 P 3.35
P  0.2500  0.7500  0.5000  8 Pb 3.01-3.35, 4 Mn 3.35
Pb  0.0000  0.0000  0.0000  4 Mn 3.01, 4 Pb 3.35, 4 P 3.35
Pb  0.7500  0.2500  0.5000  4 P 3.01, 4 Mn 3.35, 4 Pb 3.35